Entry 1:
Compound: AlSi
Source: Alexandria
Functional: GGA-PBEsol
Structure: relaxed

Unit cell a=2.719 b=2.719 c=4.747 alpha=90.00 beta=90.00 gamma=120.00
Fractional positions:
Si 0.333 0.667 0.500
Al 0.000 0.000 0.000

Output
ΔE_f (raw) = 194 meV per atom
volume = 30.4 Å³ per cell
magnetization = 0.000 μB/cell

Entry 2:
Compound: AlSi3
Source: Alexandria
Functional: GGA-PBEsol
Structure: relaxed

Unit cell a=2.797 b=3.787 c=5.462 alpha=90.00 beta=90.00 gamma=90.00
Fractional positions:
Al 0.000 0.000 0.000
Si 0.500 0.500 0.738
Si 0.000 0.000 0.500
Si 0.500 0.500 0.262

Output
ΔE_f (raw) = 270 meV per atom
volume = 57.9 Å³ per cell
magnetization = 0.000 μB/cell
energy relative to the lowest polymorph listed for this composition = 0 meV per atom